Record 1
The following is a PBE calculation of a relaxed LaY2Tc crystal, from Alexandria via LeMat-Bulk.

Calculated values
- E above lowest polymorph: 0.400 eV/atom
- Energy: -6.747 eV per atom
- ΔH_f (0 K): 0.308 eV/atom

Cell lengths 8.9310, 8.9310, 7.0027 Å; angles 50.38, 50.38, 90.00 degrees
With the nearest neighbours (Å) after each atom.
Positions (direct):
Y (0.2171, 0.1250, 0.2500)  2 Tc 2.75
Y (0.5329, 0.6250, 0.2500)  2 Tc 2.75
Y (0.3750, 0.7829, 0.7500)  2 Tc 2.75
Y (0.8750, 0.4671, 0.7500)  2 Tc 2.75
Tc (0.5000, 0.5000, 0.0000)  4 Y 2.75, 2 La 3.03
Tc (0.2500, 0.7500, 0.5000)  4 Y 2.75, 2 La 3.03
La (0.0000, 0.0000, 0.0000)  2 Tc 3.03
La (0.7500, 0.2500, 0.5000)  2 Tc 3.03


Record 2
The following is a PBE calculation of a relaxed LaYTc2 crystal, from Alexandria via LeMat-Bulk.

Calculated values
- E above lowest polymorph: 0.413 eV/atom
- Energy: -7.580 eV per atom
- ΔH_f (0 K): 0.450 eV/atom

Cell lengths 3.5138, 5.3067, 4.4897 Å; angles 90.00, 90.00, 90.00 degrees
With the nearest neighbours (Å) after each atom.
Positions (direct):
La (0.0000, 0.5000, 0.5000)  4 Tc 2.85, 4 Y 3.18
Tc (0.0000, 0.0000, 0.0000)  4 Y 2.85, 4 Tc 3.18
Tc (0.5000, 0.5000, 0.0000)  4 La 2.85, 4 Tc 3.18
Y (0.5000, 0.0000, 0.5000)  4 Tc 2.85, 4 La 3.18


Record 3
The following is a PBE calculation of a relaxed LaYTc2 crystal, from Alexandria via LeMat-Bulk.

Calculated values
- E above lowest polymorph: 0.353 eV/atom
- Energy: -7.640 eV per atom
- ΔH_f (0 K): 0.391 eV/atom

Cell lengths 4.8700, 4.8700, 4.8700 Å; angles 60.00, 60.00, 60.00 degrees
With the nearest neighbours (Å) after each atom.
Positions (direct):
La (0.5000, 0.5000, 0.5000)  4 Tc 2.98, 4 Y 2.98
Tc (0.0000, 0.0000, 0.0000)  4 Y 2.98, 4 Tc 2.98
Tc (0.2500, 0.2500, 0.2500)  4 Tc 2.98, 4 La 2.98
Y (0.7500, 0.7500, 0.7500)  4 Tc 2.98, 4 La 2.98


Record 4
The following is a PBE calculation of a relaxed LaYTc2 crystal, from Alexandria via LeMat-Bulk.

Calculated values
- E above lowest polymorph: 0.449 eV/atom
- Energy: -7.545 eV per atom
- ΔH_f (0 K): 0.486 eV/atom

Cell lengths 8.8806, 8.8806, 8.8806 Å; angles 21.95, 21.95, 21.95 degrees
With the nearest neighbours (Å) after each atom.
Positions (direct):
La (0.7500, 0.7500, 0.7500)  6 Tc 2.86
Tc (0.0028, 0.0028, 0.0028)  3 La 2.86, 3 Y 2.97
Tc (0.4972, 0.4972, 0.4972)  3 La 2.86, 3 Y 2.97
Y (0.2500, 0.2500, 0.2500)  6 Tc 2.97


Record 5
The following is a PBE calculation of a relaxed LaY2Tc crystal, from Alexandria via LeMat-Bulk.

Calculated values
- E above lowest polymorph: 0.397 eV/atom
- Energy: -6.751 eV per atom
- ΔH_f (0 K): 0.305 eV/atom

Cell lengths 4.5228, 4.5941, 5.0156 Å; angles 90.00, 90.00, 90.00 degrees
With the nearest neighbours (Å) after each atom.
Positions (direct):
La (0.5000, 0.0000, 0.5000)  4 Tc 3.22, 8 Y 3.38-3.40
Tc (0.0000, 0.5000, 0.5000)  4 La 3.22, 8 Y 3.38-3.40
Y (0.0000, 0.0000, 0.0000)  4 Y 3.22, 4 La 3.38, 4 Tc 3.40
Y (0.5000, 0.5000, 0.0000)  4 Y 3.22, 4 Tc 3.38, 4 La 3.40


Record 6
The following is a PBE calculation of a relaxed La4YTc crystal, from Alexandria via LeMat-Bulk.

Calculated values
- Energy: -5.347 eV per atom
- ΔH_f (0 K): 0.743 eV/atom

Cell lengths 6.3496, 6.3496, 6.3496 Å; angles 60.00, 60.00, 60.00 degrees
With the nearest neighbours (Å) after each atom.
Positions (direct):
La (0.8695, 0.3768, 0.3768)  6 La 3.13-3.22
La (0.3768, 0.3768, 0.8695)  6 La 3.13-3.22
La (0.3768, 0.8695, 0.3768)  6 La 3.13-3.22
La (0.3768, 0.3768, 0.3768)  6 La 3.13-3.22
Y (0.0000, 0.0000, 0.0000)  12 La 3.73, 4 Tc 3.89
Tc (0.7500, 0.7500, 0.7500)  12 La 3.72, 4 Y 3.89


Record 7
The following is a PBE calculation of a relaxed LaYTc crystal, from Alexandria via LeMat-Bulk.

Calculated values
- E above lowest polymorph: 0.172 eV/atom
- Energy: -7.075 eV per atom
- ΔH_f (0 K): 0.178 eV/atom

Cell lengths 4.8003, 4.8003, 3.6805 Å; angles 90.00, 90.00, 120.00 degrees
With the nearest neighbours (Å) after each atom.
Positions (direct):
La (0.0000, 0.0000, 0.0853)  3 Tc 2.88
Tc (0.6667, 0.3333, 0.2959)  3 La 2.88, 3 Y 3.02
Y (0.3333, 0.6667, 0.6187)  3 Tc 3.02, 3 La 3.26


Record 8
The following is a PBE calculation of a relaxed LaYTc crystal, from Alexandria via LeMat-Bulk.

Calculated values
- E above lowest polymorph: 0.000 eV/atom
- Energy: -7.247 eV per atom
- ΔH_f (0 K): 0.006 eV/atom

Cell lengths 6.9257, 7.3386, 7.3525 Å; angles 90.00, 90.00, 118.16 degrees
With the nearest neighbours (Å) after each atom.
Positions (direct):
Tc (0.6156, 0.2312, 0.5311)  1 La 2.47
Tc (0.8844, 0.7688, 0.0311)  1 La 2.47
Tc (0.3844, 0.7688, 0.4689)  1 La 2.47
Tc (0.1156, 0.2312, 0.9689)  1 La 2.47
Y (0.2788, 0.0575, 0.2500)  4 Tc 2.92-3.01
Y (0.2212, 0.9425, 0.7500)  4 Tc 2.92-3.01
Y (0.7212, 0.9425, 0.7500)  4 Tc 2.92-3.01
Y (0.7788, 0.0575, 0.2500)  4 Tc 2.92-3.01
La (0.7894, 0.5788, 0.3920)  1 Tc 2.47
La (0.7106, 0.4212, 0.8920)  1 Tc 2.47
La (0.2106, 0.4212, 0.6080)  1 Tc 2.47
La (0.2894, 0.5788, 0.1080)  1 Tc 2.47


Record 9
The following is a PBE calculation of a relaxed La2Y2Tc crystal, from Alexandria via LeMat-Bulk.

Calculated values
- E above lowest polymorph: 0.483 eV/atom
- Energy: -5.888 eV per atom
- ΔH_f (0 K): 0.742 eV/atom

Cell lengths 4.0523, 4.0523, 10.2560 Å; angles 78.61, 78.61, 90.00 degrees
With the nearest neighbours (Å) after each atom.
Positions (direct):
Y (0.7500, 0.2500, 0.5000)  4 Y 2.87
Y (0.2500, 0.7500, 0.5000)  4 Y 2.87
Tc (0.0000, 0.0000, 0.0000)  8 La 3.26
La (0.4207, 0.4207, 0.1586)  1 La 3.12, 4 Tc 3.26
La (0.5793, 0.5793, 0.8414)  1 La 3.12, 4 Tc 3.26


Record 10
The following is a PBE calculation of a relaxed LaYTc2 crystal, from Alexandria via LeMat-Bulk.

Calculated values
- E above lowest polymorph: 0.373 eV/atom
- Energy: -7.621 eV per atom
- ΔH_f (0 K): 0.410 eV/atom

Cell lengths 5.4957, 5.4957, 5.4957 Å; angles 143.18, 122.54, 70.21 degrees
With the nearest neighbours (Å) after each atom.
Positions (direct):
La (0.2500, 0.7500, 0.5000)  4 Tc 2.77
Tc (0.0103, 0.0103, 0.0000)  2 La 2.77, 2 Y 2.91
Tc (0.4897, 0.4897, 0.0000)  2 La 2.77, 2 Y 2.91
Y (0.7500, 0.2500, 0.5000)  4 Tc 2.91, 4 La 3.16


Record 11
The following is a PBE calculation of a relaxed La3YTc crystal, from Alexandria via LeMat-Bulk.

Calculated values
- E above lowest polymorph: 0.011 eV/atom
- Energy: -6.226 eV per atom
- ΔH_f (0 K): 0.097 eV/atom

Cell lengths 5.5573, 5.5573, 5.5573 Å; angles 90.00, 90.00, 90.00 degrees
With the nearest neighbours (Å) after each atom.
Positions (direct):
Y (0.5000, 0.5000, 0.5000)  12 La 3.93
Tc (0.0000, 0.0000, 0.0000)  6 La 2.78
La (0.0000, 0.5000, 0.0000)  2 Tc 2.78
La (0.0000, 0.0000, 0.5000)  2 Tc 2.78
La (0.5000, 0.0000, 0.0000)  2 Tc 2.78


Record 12
The following is a PBE calculation of a relaxed LaYTc2 crystal, from Alexandria via LeMat-Bulk.

Calculated values
- E above lowest polymorph: 0.397 eV/atom
- Energy: -7.596 eV per atom
- ΔH_f (0 K): 0.435 eV/atom

Cell lengths 5.8706, 5.8706, 5.8706 Å; angles 139.44, 139.44, 58.70 degrees
With the nearest neighbours (Å) after each atom.
Positions (direct):
La (0.7500, 0.2500, 0.5000)  4 Tc 2.88
Tc (0.0000, 0.0000, 0.0000)  4 Y 2.88
Tc (0.2500, 0.7500, 0.5000)  4 La 2.88
Y (0.5000, 0.5000, 0.0000)  4 Tc 2.88


Which formula does entry 7 have? LaYTc